This record from the Alexandria database describes a geometry-optimized RbTe2Ru structure. The functional is PBEsol.

abc: 8.0819 8.0819 7.9784
angles: 90.00 90.00 90.00
Last column: nearest neighbours and their distance in Å.
Space group I-42d (No. 122)
Symmetry-distinct sites (fractional):
Rb  0.0000  0.0000  0.0000 (multiplicity 4)  8 Te 3.68-3.78, 2 Ru 3.99
Te  0.1401  0.7500  0.6250 (multiplicity 8)  2 Ru 2.52
Ru  0.0000  0.0000  0.5000 (multiplicity 4)  4 Te 2.52

As for the crystal system: tetragonal. Its formation energy from raw total energies is -205 meV per atom. The total moment comes out at 0.001 μB per cell.